Record 1
This record from the Open Quantum Materials Database describes a geometry-optimized TlGa2Au structure. The functional is PBE-GGA.

abc: 4.962 4.962 4.962
angles: 60.00 60.00 60.00
Element x y z (fractional)
1 Au 0.500 0.500 0.500
2 Ga 0.000 0.000 0.000
3 Ga 0.250 0.250 0.250
4 Tl 0.750 0.750 0.750

Calculated values
- Crystal system: cubic
- Final energy: -2.8443 eV per atom

***

Record 2
This record from the Open Quantum Materials Database describes a geometry-optimized HfNiBPt structure. The functional is PBE-GGA.

abc: 4.296 4.296 4.296
angles: 60.00 60.00 60.00
Element x y z (fractional)
1 B 0.000 0.000 0.000
2 Hf 0.250 0.250 0.250
3 Ni 0.750 0.750 0.750
4 Pt 0.500 0.500 0.500

Calculated values
- Crystal system: cubic
- Offset from the most stable computed form: 204 meV/atom

***

Record 3
This record from the Open Quantum Materials Database describes a geometry-optimized NaTcTe2AuS structure. The functional is PBE-GGA.

abc: 7.648 7.648 9.856
angles: 90.00 90.00 150.69
Element x y z (fractional)
1 Au 0.562 0.438 0.250
2 Au 0.438 0.562 0.750
3 Na 0.231 0.769 0.250
4 Na 0.769 0.231 0.750
5 S 0.946 0.054 0.250
6 S 0.054 0.946 0.750
7 Tc 0.000 0.000 0.000
8 Tc 0.000 0.000 0.500
9 Te 0.633 0.367 0.002
10 Te 0.633 0.367 0.498
11 Te 0.367 0.633 0.502
12 Te 0.367 0.633 0.998

Calculated values
- Crystal system: orthorhombic
- Final energy: -4.3096 eV per atom

***

Record 4
This record from the Open Quantum Materials Database describes a geometry-optimized TbTmPbC structure. The functional is PBE-GGA.

abc: 3.623 3.623 16.073
angles: 90.00 90.00 120.00
Element x y z (fractional)
1 C 0.000 0.000 0.253
2 C 0.000 0.000 0.747
3 Pb 0.667 0.333 0.000
4 Pb 0.333 0.667 0.500
5 Tb 0.333 0.667 0.168
6 Tb 0.333 0.667 0.832
7 Tm 0.667 0.333 0.333
8 Tm 0.667 0.333 0.667

Calculated values
- Crystal system: hexagonal
- Final energy: -6.0102 eV per atom

***

Record 5
This record from the Open Quantum Materials Database describes a geometry-optimized KCdGe structure. The functional is PBE-GGA.

abc: 5.106 5.106 5.106
angles: 60.00 60.00 60.00
Element x y z (fractional)
1 Cd 0.250 0.250 0.250
2 Ge 0.000 0.000 0.000
3 K 0.750 0.750 0.750

Calculated values
- Crystal system: cubic
- Offset from the most stable computed form: 0 meV/atom

***

Record 6
This record from the Open Quantum Materials Database describes a geometry-optimized PrAl2Ag2 structure. The functional is PBE-GGA.

abc: 6.197 6.197 6.197
angles: 138.13 138.13 60.70
Element x y z (fractional)
1 Ag 0.750 0.250 0.500
2 Ag 0.250 0.750 0.500
3 Al 0.382 0.382 0.000
4 Al 0.618 0.618 0.000
5 Pr 0.000 0.000 0.000

Calculated values
- Crystal system: tetragonal
- Offset from the most stable computed form: 0 meV/atom

***

Record 7
This record from the Open Quantum Materials Database describes a geometry-optimized NaTmS2O8 structure. The functional is PBE-GGA.

abc: 4.593 9.948 6.794
angles: 90.00 90.00 110.40
Element x y z (fractional)
1 Na 0.788 0.652 0.250
2 Na 0.212 0.348 0.750
3 O 0.613 0.852 0.074
4 O 0.160 0.339 0.078
5 O 0.776 0.080 0.250
6 O 0.736 0.383 0.250
7 O 0.239 0.567 0.250
8 O 0.242 0.933 0.250
9 O 0.160 0.339 0.422
10 O 0.613 0.852 0.426
11 O 0.387 0.148 0.574
12 O 0.840 0.661 0.578
13 O 0.758 0.067 0.750
14 O 0.761 0.433 0.750
15 O 0.264 0.617 0.750
16 O 0.224 0.920 0.750
17 O 0.840 0.661 0.922
18 O 0.387 0.148 0.926
19 S 0.077 0.413 0.250
20 S 0.560 0.926 0.250
21 S 0.440 0.074 0.750
22 S 0.923 0.587 0.750
23 Tm 0.328 0.180 0.250
24 Tm 0.672 0.820 0.750

Calculated values
- Crystal system: monoclinic
- Final energy: -6.5356 eV per atom

***

Record 8
This record from the Open Quantum Materials Database describes a geometry-optimized YSbMoI2 structure. The functional is PBE-GGA.

abc: 4.243 4.243 10.265
angles: 90.00 90.00 120.00
Element x y z (fractional)
1 I 0.333 0.667 0.335
2 I 0.667 0.333 0.693
3 Mo 0.333 0.667 0.857
4 Sb 0.000 0.000 0.974
5 Y 0.667 0.333 0.141

Calculated values
- Crystal system: trigonal
- Final energy: -5.3750 eV per atom

***

Record 9
This record from the Open Quantum Materials Database describes a geometry-optimized ErNbCF2 structure. The functional is PBE-GGA.

abc: 3.326 3.326 6.693
angles: 90.00 90.00 120.00
Element x y z (fractional)
1 C 0.000 0.000 0.019
2 Er 0.667 0.333 0.806
3 F 0.667 0.333 0.373
4 F 0.333 0.667 0.626
5 Nb 0.333 0.667 0.175

Calculated values
- Crystal system: trigonal
- Final energy: -7.4918 eV per atom

***

Record 10
This record from the Open Quantum Materials Database describes a geometry-optimized ScNbFeGe structure. The functional is PBE-GGA.

abc: 4.442 4.442 4.442
angles: 60.00 60.00 60.00
Element x y z (fractional)
1 Fe 0.750 0.750 0.750
2 Ge 0.000 0.000 0.000
3 Nb 0.500 0.500 0.500
4 Sc 0.250 0.250 0.250

Calculated values
- Crystal system: cubic
- Offset from the most stable computed form: 0 meV/atom

***

Record 11
This record from the Open Quantum Materials Database describes a geometry-optimized YSi2Pd structure. The functional is PBE-GGA.

abc: 4.672 4.672 4.672
angles: 60.00 60.00 60.00
Element x y z (fractional)
1 Pd 0.750 0.750 0.750
2 Si 0.000 0.000 0.000
3 Si 0.250 0.250 0.250
4 Y 0.500 0.500 0.500

Calculated values
- Crystal system: cubic
- Final energy: -5.8857 eV per atom

***

Record 12
This record from the Open Quantum Materials Database describes a geometry-optimized CsTePdAu structure. The functional is PBE-GGA.

abc: 5.323 5.323 5.323
angles: 60.00 60.00 60.00
Element x y z (fractional)
1 Au 0.750 0.750 0.750
2 Cs 0.500 0.500 0.500
3 Pd 0.250 0.250 0.250
4 Te 0.000 0.000 0.000

Calculated values
- Crystal system: cubic
- Offset from the most stable computed form: 0 meV/atom